# 1
The following is a PBE calculation of a relaxed VCo4Ni7 crystal, from Alexandria via LeMat-Bulk.

Uncorrected energy (eV per atom): -6.22
D(E_F) (states/eV per cell): 16.746
DFT formation energy (eV per atom): 0.278

a b c (Å): 4.2123 6.8817 5.9476
angles (deg): 62.16 69.26 72.18
Site moments in Bohr magnetons follow the coordinates.
Fractional coordinates of all 12 atoms:
V 0.0000 0.0000 0.0000  -0.34
Co 0.5582 0.3081 0.5756  1.75
Co 0.4418 0.6919 0.4244  1.75
Co 0.6764 0.6258 0.0214  1.61
Co 0.3236 0.3742 0.9786  1.61
Ni 0.7965 0.8693 0.5377  0.46
Ni 0.2035 0.1307 0.4623  0.46
Ni 0.0804 0.5643 0.2750  0.57
Ni 0.9196 0.4357 0.7250  0.57
Ni 0.2192 0.7638 0.7978  0.39
Ni 0.5000 0.0000 0.0000  0.02
Ni 0.7808 0.2362 0.2022  0.39

# 2
The following is a PBE calculation of a relaxed VCo2Ni4 crystal, from Alexandria via LeMat-Bulk.

Uncorrected energy (eV per atom): -6.53
E above lowest polymorph (meV per atom): 87
D(E_F) (states/eV per cell): 19.822
DFT formation energy (eV per atom): 0.102

a b c (Å): 8.3433 4.6282 4.7820
angles (deg): 118.94 90.00 90.00
Site moments in Bohr magnetons follow the coordinates.
Fractional coordinates of all 14 atoms:
V 0.0000 0.0000 0.0000  -0.75
V 0.5000 0.5000 0.0000  -0.75
Co 0.0000 0.7052 0.4105  1.39
Co 0.0000 0.2948 0.5895  1.39
Co 0.5000 0.7948 0.5895  1.39
Co 0.5000 0.2052 0.4105  1.39
Ni 0.8065 0.5012 0.0000  0.42
Ni 0.7500 0.5008 0.5000  0.53
Ni 0.7500 0.0008 0.5000  0.53
Ni 0.6935 0.0012 0.0000  0.42
Ni 0.3065 0.9988 0.0000  0.42
Ni 0.2500 0.9992 0.5000  0.53
Ni 0.2500 0.4992 0.5000  0.53
Ni 0.1935 0.4988 0.0000  0.42

# 3
The following is a PBE calculation of a relaxed VCoNi2 crystal, from Alexandria via LeMat-Bulk.

Uncorrected energy (eV per atom): -6.60
E above lowest polymorph (meV per atom): 547
D(E_F) (states/eV per cell): 9.022
DFT formation energy (eV per atom): 0.348

a b c (Å): 6.3663 6.3663 5.1088
angles (deg): 51.46 51.46 90.00
Site moments in Bohr magnetons follow the coordinates.
Fractional coordinates of all 8 atoms:
Ni 0.6218 0.1250 0.2500  0.00
Ni 0.1282 0.6250 0.2500  0.00
Ni 0.3750 0.3782 0.7500  0.00
Ni 0.8750 0.8718 0.7500  0.00
Co 0.0000 0.0000 0.0000  0.96
Co 0.7500 0.2500 0.5000  0.96
V 0.5000 0.5000 0.0000  -0.64
V 0.2500 0.7500 0.5000  -0.64

> Number 1 is which compound?

VCo4Ni7